## Ce3Ti5H12 (PBE-GGA)

Data for a relaxed Ce3Ti5H12 crystal.

Computed properties:
DFT total energy	-5.215	eV/atom

CIF file:
```
data_Ce3Ti5H12
_chemical_formula_sum 'Ce24 Ti40 H96'
_space_group_name_H-M_alt 'I a -3 d'
_space_group_IT_number 230
_space_group_name_Hall '-I 4bd 2c 3'
_cell_length_a 12.023
_cell_length_b 12.023
_cell_length_c 12.023
_cell_angle_alpha 90.00
_cell_angle_beta 90.00
_cell_angle_gamma 90.00
loop_
_atom_site_label
_atom_site_fract_x
_atom_site_fract_y
_atom_site_fract_z
Ce1 0.000 0.250 0.125
Ti1 0.000 0.000 0.000
Ti2 0.000 0.250 0.375
H1 0.023 0.060 0.644
```